Pr6Nd3Sc: relaxed, PBE-GGA.

Results
The volume comes out at 350.3 Å³/f.u. The energy above the most stable polymorph in this dataset is 0 meV per atom. Its crystal system is orthorhombic. For the electronic total energy, the calculation gives -191.887 eV for the cell shown. The calculation puts the formation enthalpy at 0 K at 0.13 eV/atom.

Cell: 11.1019 19.3999 6.5055 Å, 90.00 90.00 90.00°
Last column: nearest neighbours and their distance in Å.
Space group Cmc2_1 (No. 36)
Symmetry-distinct sites (fractional):
1 Pr 0.0000 0.0396 0.0000 [4 per cell]  1 Sc 3.42, 2 Pr 3.60, 4 Nd 3.61-3.66
2 Pr 0.0000 0.2778 0.7674 [4 per cell]  4 Pr 3.21-3.52, 1 Sc 3.46, 1 Nd 3.46
3 Pr 0.1677 0.4591 0.6805 [8 per cell]  3 Nd 3.47-3.61, 5 Pr 3.56-3.87
4 Pr 0.2390 0.2916 0.4928 [8 per cell]  3 Pr 3.21-3.56, 1 Sc 3.32, 2 Nd 3.39-3.52
5 Nd 0.0000 0.3815 0.2004 [4 per cell]  5 Pr 3.46-3.70, 1 Sc 3.60, 2 Nd 3.75
6 Nd 0.1703 0.1167 0.5775 [8 per cell]  1 Sc 3.28, 6 Pr 3.39-3.66
7 Sc 0.0000 0.1966 0.2405 [4 per cell]  3 Nd 3.28-3.60, 6 Pr 3.32-3.62